--- a ---
A plane-wave DFT calculation with PBE was carried out for a geometry-optimized MgCoSiW structure.

extended XYZ file:
```
4
Lattice="0.0000 3.0385 3.0385 3.0385 0.0000 3.0385 3.0385 3.0385 0.0000" Properties=species:S:1:pos:R:3 pbc="T T T"
Co 4.5578 4.5578 4.5578
Mg 1.5193 1.5193 1.5193
Si 0.0000 0.0000 0.0000
W 3.0385 3.0385 3.0385
```

## Properties
SG ... F-43m
Total magnetic moment ... 3.0 μB/f.u.

***

--- b ---
A plane-wave DFT calculation with PBE was carried out for a geometry-optimized MgCoSiW structure.

extended XYZ file:
```
4
Lattice="-0.7232 -3.8383 -1.6805 -3.3328 -2.2972 1.3020 -3.3160 -0.5945 -2.5942" Properties=species:S:1:pos:R:3 pbc="T T T"
Co -5.5290 -5.0475 -2.2296
Mg -3.6860 -3.3650 -1.4864
Si 0.0000 0.0000 0.0000
W -1.8430 -1.6825 -0.7432
```

## Properties
SG ... F-43m
Total magnetic moment ... 0.5 μB/f.u.

***

Ordering by calculated energy gives the sequence b, a, with the first entry being the most stable.

***

--- a ---
A plane-wave DFT calculation with PBE was carried out for a geometry-optimized MgZrCoSi structure.

extended XYZ file:
```
4
Lattice="0.8623 -4.3076 -0.2728 -0.3618 -2.5473 3.5712 -3.2771 -2.9234 0.2951" Properties=species:S:1:pos:R:3 pbc="T T T"
Co -2.0825 -7.3338 2.6951
Mg -0.6942 -2.4446 0.8984
Si 0.0000 0.0000 0.0000
Zr -1.3883 -4.8892 1.7968
```

## Properties
SG ... F-43m
Total magnetic moment ... 0.1 μB/f.u.

***

--- b ---
A plane-wave DFT calculation with PBE was carried out for a geometry-optimized MgZrCoSi structure.

extended XYZ file:
```
4
Lattice="0.0000 3.1401 3.1401 3.1401 0.0000 3.1401 3.1401 3.1401 0.0000" Properties=species:S:1:pos:R:3 pbc="T T T"
Co 4.7101 4.7101 4.7101
Mg 3.1401 3.1401 3.1401
Si 0.0000 0.0000 0.0000
Zr 1.5700 1.5700 1.5700
```

## Properties
SG ... F-43m
Total magnetic moment ... 1.2 μB/f.u.

***

Ordering by calculated energy gives the sequence a, b, with the first entry being the most stable.

***

--- a ---
A plane-wave DFT calculation with PBE was carried out for a geometry-optimized SrMgTaCo structure.

extended XYZ file:
```
4
Lattice="0.0000 3.3872 3.3872 3.3872 0.0000 3.3872 3.3872 3.3872 0.0000" Properties=species:S:1:pos:R:3 pbc="T T T"
Co 3.3872 3.3872 3.3872
Mg 5.0808 5.0808 5.0808
Sr 0.0000 0.0000 0.0000
Ta 1.6936 1.6936 1.6936
```

## Properties
SG ... F-43m
Total magnetic moment ... 0.0 μB/f.u.

***

--- b ---
A plane-wave DFT calculation with PBE was carried out for a geometry-optimized SrMgTaCo structure.

extended XYZ file:
```
4
Lattice="0.0000 3.4382 3.4382 3.4382 0.0000 3.4382 3.4382 3.4382 0.0000" Properties=species:S:1:pos:R:3 pbc="T T T"
Co 1.7191 1.7191 1.7191
Mg 5.1573 5.1573 5.1573
Sr 0.0000 0.0000 0.0000
Ta 3.4382 3.4382 3.4382
```

## Properties
SG ... F-43m
Total magnetic moment ... 0.0 μB/f.u.

***

Ordering by calculated energy gives the sequence b, a, with the first entry being the most stable.

***

--- a ---
A plane-wave DFT calculation with PBE was carried out for a geometry-optimized MgTaZnCo structure.

extended XYZ file:
```
4
Lattice="0.2776 3.5219 3.9815 -2.9565 4.4237 -0.1489 -4.1055 0.5709 3.3394" Properties=species:S:1:pos:R:3 pbc="T T T"
Co 0.0000 0.0000 0.0000
Mg -5.0883 6.3874 5.3790
Ta -3.3922 4.2582 3.5860
Zn -1.6961 2.1291 1.7930
```

## Properties
SG ... F-43m
Total magnetic moment ... 0.3 μB/f.u.

***

--- b ---
A plane-wave DFT calculation with PBE was carried out for a geometry-optimized MgTaZnCo structure.

extended XYZ file:
```
4
Lattice="-3.9535 -0.8978 1.5338 -2.5145 3.1909 1.5114 -3.5156 1.2252 -2.2199" Properties=species:S:1:pos:R:3 pbc="T T T"
Co -2.4959 0.8796 0.2063
Mg -7.4877 2.6388 0.6189
Ta -4.9918 1.7592 0.4126
Zn 0.0000 0.0000 0.0000
```

## Properties
SG ... F-43m
Total magnetic moment ... 0.0 μB/f.u.

***

--- c ---
A plane-wave DFT calculation with PBE was carried out for a geometry-optimized MgTaZnCo structure.

extended XYZ file:
```
4
Lattice="3.5242 -2.4590 -0.7684 -0.3821 -4.3408 -0.2620 0.4661 -2.0038 -3.8503" Properties=species:S:1:pos:R:3 pbc="T T T"
Co 1.8041 -4.4018 -2.4404
Mg 2.7062 -6.6027 -3.6606
Ta 0.9021 -2.2009 -1.2202
Zn 0.0000 0.0000 0.0000
```

## Properties
SG ... F-43m
Total magnetic moment ... 0.0 μB/f.u.

***

Ordering by calculated energy gives the sequence c, b, a, with the first entry being the most stable.